Record 1
Here is a relaxed structure of CrNiIr2 from the Alexandria database. Energies are from PBE.

a = 2.682 Å, b = 3.615 Å, c = 5.363 Å
α = 90.00°, β = 90.00°, γ = 90.00°
Sites, in units of the cell vectors:
Cr 0.000 0.000 0.000
Ni 0.000 0.000 0.500
Ir 0.500 0.500 0.250
Ir 0.500 0.500 0.750

Values from the calculation:
N(E_F) = 1.2201 states/eV per atom
Total magnetic moment = 0.13 Bohr magnetons per cell
Formation energy from the elements = -0.1207 eV per atom
Space group = No. 47
Calculated total energy = -8.402 eV per atom

Record 2
Here is a relaxed structure of La2SeBr from the Alexandria database. Energies are from PBE.

a = 3.739 Å, b = 3.739 Å, c = 7.505 Å
α = 90.00°, β = 90.00°, γ = 90.00°
Sites, in units of the cell vectors:
La 0.000 0.000 0.238
La 0.000 0.000 0.762
Se 0.500 0.500 0.000
Br 0.500 0.500 0.500

Values from the calculation:
N(E_F) = 0.8519 states/eV per atom
Raw formation energy = -1.472 eV per atom
Total magnetic moment = 0.00 Bohr magnetons per cell
Space group = No. 123
Calculated total energy = -5.225 eV per atom
Energy above the most stable polymorph in this dataset = 0.68 eV/f.u.

Record 3
Here is a relaxed structure of In2ReBr from the Alexandria database. Energies are from PBE.

a = 6.968 Å, b = 6.968 Å, c = 6.968 Å
α = 90.00°, β = 90.00°, γ = 90.00°
Sites, in units of the cell vectors:
In 0.000 0.000 0.000
In 0.000 0.500 0.500
In 0.250 0.250 0.250
In 0.250 0.750 0.750
In 0.500 0.000 0.500
In 0.500 0.500 0.000
In 0.750 0.250 0.750
In 0.750 0.750 0.250
Re 0.000 0.000 0.500
Re 0.000 0.500 0.000
Re 0.500 0.000 0.000
Re 0.500 0.500 0.500
Br 0.250 0.250 0.750
Br 0.250 0.750 0.250
Br 0.750 0.250 0.250
Br 0.750 0.750 0.750

Values from the calculation:
N(E_F) = 1.3562 states/eV per atom
Raw formation energy = 1.048 eV per atom
Total magnetic moment = 4.09 Bohr magnetons per cell
Space group = No. 216
Calculated total energy = -3.852 eV per atom
Energy above the most stable polymorph in this dataset = 2.91 eV/f.u.

Record 4
Here is a relaxed structure of Sr3Li2NpO9 from the Alexandria database. Energies are from PBE.

a = 5.608 Å, b = 5.608 Å, c = 7.362 Å
α = 90.00°, β = 90.00°, γ = 120.00°
Sites, in units of the cell vectors:
Sr 0.000 0.000 0.000
Sr 0.333 0.667 0.727
Sr 0.667 0.333 0.273
Li 0.333 0.667 0.177
Li 0.667 0.333 0.823
Np 0.000 0.000 0.500
O 0.000 0.500 0.000
O 0.163 0.325 0.336
O 0.163 0.837 0.336
O 0.325 0.163 0.664
O 0.500 0.000 0.000
O 0.500 0.500 0.000
O 0.675 0.837 0.336
O 0.837 0.163 0.664
O 0.837 0.675 0.664

Values from the calculation:
N(E_F) = 0.7268 states/eV per atom
Raw formation energy = -2.213 eV per atom
Total magnetic moment = 3.01 Bohr magnetons per cell
Space group = No. 164
Calculated total energy = -6.642 eV per atom

Record 5
Here is a relaxed structure of SrLi2W from the Alexandria database. Energies are from PBE.

a = 3.028 Å, b = 3.028 Å, c = 32.841 Å
α = 90.00°, β = 90.00°, γ = 120.00°
Sites, in units of the cell vectors:
Sr 0.000 0.000 0.000
Sr 0.333 0.667 0.667
Sr 0.667 0.333 0.333
Li 0.000 0.000 0.512
Li 0.000 0.000 0.763
Li 0.333 0.667 0.179
Li 0.333 0.667 0.430
Li 0.667 0.333 0.097
Li 0.667 0.333 0.845
W 0.000 0.000 0.250
W 0.333 0.667 0.917
W 0.667 0.333 0.584

Values from the calculation:
N(E_F) = 1.1277 states/eV per atom
Total magnetic moment = 0.01 Bohr magnetons per cell
Formation energy from the elements = 0.8281 eV per atom
Space group = No. 160
Calculated total energy = -3.788 eV per atom
Energy above the most stable polymorph in this dataset = 0.40 eV/f.u.

Record 6
Here is a relaxed structure of Ta2CuSn from the Alexandria database. Energies are from PBE.

a = 7.330 Å, b = 7.330 Å, c = 5.580 Å
α = 90.00°, β = 90.00°, γ = 90.00°
Sites, in units of the cell vectors:
Ta 0.226 0.250 0.125
Ta 0.250 0.726 0.375
Ta 0.250 0.774 0.875
Ta 0.274 0.250 0.625
Ta 0.726 0.750 0.625
Ta 0.750 0.226 0.875
Ta 0.750 0.274 0.375
Ta 0.774 0.750 0.125
Cu 0.000 0.000 0.000
Cu 0.000 0.500 0.250
Cu 0.500 0.000 0.750
Cu 0.500 0.500 0.500
Sn 0.000 0.000 0.500
Sn 0.000 0.500 0.750
Sn 0.500 0.000 0.250
Sn 0.500 0.500 0.000

Values from the calculation:
N(E_F) = 0.4387 states/eV per atom
Total magnetic moment = 0.00 Bohr magnetons per cell
Formation energy from the elements = 0.4866 eV per atom
Space group = No. 122
Calculated total energy = -7.464 eV per atom

Record 7
Here is a relaxed structure of BaTaTe from the Alexandria database. Energies are from PBE.

a = 4.788 Å, b = 4.788 Å, c = 5.000 Å
α = 90.00°, β = 90.00°, γ = 120.00°
Sites, in units of the cell vectors:
Ba 0.000 0.000 0.000
Ta 0.667 0.333 0.500
Te 0.333 0.667 0.500

Values from the calculation:
N(E_F) = 1.2208 states/eV per atom
Raw formation energy = 0.274 eV per atom
Total magnetic moment = 1.07 Bohr magnetons per cell
Space group = No. 187
Calculated total energy = -5.365 eV per atom
Energy above the most stable polymorph in this dataset = 1.89 eV/f.u.

Record 8
Here is a relaxed structure of HfTaTe2 from the Alexandria database. Energies are from PBE.

a = 4.901 Å, b = 4.901 Å, c = 17.805 Å
α = 90.00°, β = 90.00°, γ = 90.00°
Sites, in units of the cell vectors:
Hf 0.000 0.000 0.000
Hf 0.000 0.500 0.250
Hf 0.500 0.000 0.750
Hf 0.500 0.500 0.500
Ta 0.000 0.000 0.500
Ta 0.000 0.500 0.750
Ta 0.500 0.000 0.250
Ta 0.500 0.500 0.000
Te 0.232 0.250 0.625
Te 0.250 0.732 0.875
Te 0.250 0.768 0.375
Te 0.268 0.250 0.125
Te 0.732 0.750 0.125
Te 0.750 0.232 0.375
Te 0.750 0.268 0.875
Te 0.768 0.750 0.625

Values from the calculation:
N(E_F) = 1.6497 states/eV per atom
Raw formation energy = 0.405 eV per atom
Total magnetic moment = 0.00 Bohr magnetons per cell
Space group = No. 122
Calculated total energy = -6.617 eV per atom
Energy above the most stable polymorph in this dataset = 2.23 eV/f.u.

Record 9
Here is a relaxed structure of KAsAu2Se4 from the Alexandria database. Energies are from PBE.

a = 6.616 Å, b = 8.304 Å, c = 8.874 Å
α = 90.00°, β = 90.00°, γ = 90.00°
Sites, in units of the cell vectors:
K 0.000 0.000 0.000
K 0.500 0.500 0.500
As 0.000 0.000 0.500
As 0.500 0.500 0.000
Au 0.000 0.500 0.172
Au 0.000 0.500 0.828
Au 0.500 0.000 0.328
Au 0.500 0.000 0.672
Se 0.198 0.172 0.341
Se 0.198 0.828 0.659
Se 0.302 0.328 0.841
Se 0.302 0.672 0.159
Se 0.698 0.328 0.159
Se 0.698 0.672 0.841
Se 0.802 0.172 0.659
Se 0.802 0.828 0.341

Values from the calculation:
Raw formation energy = -0.325 eV per atom
Total magnetic moment = 0.00 Bohr magnetons per cell
Space group = No. 23
Calculated total energy = -3.605 eV per atom

Record 10
Here is a relaxed structure of FeTcHg2 from the Alexandria database. Energies are from PBE.

a = 2.919 Å, b = 2.904 Å, c = 8.398 Å
α = 90.00°, β = 98.12°, γ = 90.00°
Sites, in units of the cell vectors:
Fe 0.000 0.000 0.000
Tc 0.568 0.500 0.164
Hg 0.174 0.000 0.428
Hg 0.397 0.500 0.757

Values from the calculation:
N(E_F) = 0.6141 states/eV per atom
Total magnetic moment = 1.14 Bohr magnetons per cell
Formation energy from the elements = 0.3369 eV per atom
Space group = No. 6
Calculated total energy = -4.521 eV per atom
Energy above the most stable polymorph in this dataset = 0.00 eV/f.u.

Record 11
Here is a relaxed structure of Cd2POs from the Alexandria database. Energies are from PBE.

a = 10.943 Å, b = 3.075 Å, c = 4.820 Å
α = 90.00°, β = 106.21°, γ = 90.00°
Sites, in units of the cell vectors:
Cd 0.000 0.000 0.000
Cd 0.190 0.000 0.644
Cd 0.500 0.500 0.000
Cd 0.690 0.500 0.644
P 0.301 0.500 0.275
P 0.801 0.000 0.275
Os 0.452 0.000 0.478
Os 0.952 0.500 0.478

Values from the calculation:
N(E_F) = 0.5357 states/eV per atom
Total magnetic moment = 0.00 Bohr magnetons per cell
Formation energy from the elements = 0.2143 eV per atom
Space group = No. 8
Calculated total energy = -4.403 eV per atom
Energy above the most stable polymorph in this dataset = 0.62 eV/f.u.

Record 12
Here is a relaxed structure of LaTlIn2 from the Alexandria database. Energies are from PBE.

a = 4.675 Å, b = 4.675 Å, c = 22.885 Å
α = 90.00°, β = 90.00°, γ = 90.00°
Sites, in units of the cell vectors:
La 0.000 0.000 0.000
La 0.000 0.500 0.250
La 0.500 0.000 0.750
La 0.500 0.500 0.500
Tl 0.000 0.000 0.500
Tl 0.000 0.500 0.750
Tl 0.500 0.000 0.250
Tl 0.500 0.500 0.000
In 0.232 0.250 0.625
In 0.250 0.732 0.875
In 0.250 0.768 0.375
In 0.268 0.250 0.125
In 0.732 0.750 0.125
In 0.750 0.232 0.375
In 0.750 0.268 0.875
In 0.768 0.750 0.625

Values from the calculation:
N(E_F) = 0.7360 states/eV per atom
Total magnetic moment = 0.00 Bohr magnetons per cell
Formation energy from the elements = -0.1337 eV per atom
Space group = No. 122
Calculated total energy = -3.326 eV per atom

Record 13
Here is a relaxed structure of Sm8AsP6 from the Alexandria database. Energies are from PBE.

a = 10.435 Å, b = 10.435 Å, c = 4.212 Å
α = 90.00°, β = 90.00°, γ = 120.00°
Sites, in units of the cell vectors:
Sm 0.034 0.338 0.258
Sm 0.304 0.966 0.258
Sm 0.333 0.667 0.748
Sm 0.338 0.304 0.742
Sm 0.662 0.696 0.258
Sm 0.667 0.333 0.252
Sm 0.696 0.034 0.742
Sm 0.966 0.662 0.742
As 0.000 0.000 0.500
P 0.134 0.656 0.244
P 0.344 0.477 0.244
P 0.477 0.134 0.756
P 0.523 0.866 0.244
P 0.656 0.523 0.756
P 0.866 0.344 0.756

Values from the calculation:
N(E_F) = 0.5801 states/eV per atom
Total magnetic moment = 0.00 Bohr magnetons per cell
Formation energy from the elements = -1.1947 eV per atom
Space group = No. 147
Calculated total energy = -6.186 eV per atom

Record 14
Here is a relaxed structure of LaGaSnHg from the Alexandria database. Energies are from PBE.

a = 7.434 Å, b = 7.434 Å, c = 7.434 Å
α = 90.00°, β = 90.00°, γ = 90.00°
Sites, in units of the cell vectors:
La 0.000 0.000 0.000
La 0.000 0.500 0.500
La 0.500 0.000 0.500
La 0.500 0.500 0.000
Ga 0.250 0.250 0.250
Ga 0.250 0.750 0.750
Ga 0.750 0.250 0.750
Ga 0.750 0.750 0.250
Sn 0.000 0.000 0.500
Sn 0.000 0.500 0.000
Sn 0.500 0.000 0.000
Sn 0.500 0.500 0.500
Hg 0.250 0.250 0.750
Hg 0.250 0.750 0.250
Hg 0.750 0.250 0.250
Hg 0.750 0.750 0.750

Values from the calculation:
N(E_F) = 0.4367 states/eV per atom
Total magnetic moment = 0.00 Bohr magnetons per cell
Formation energy from the elements = -0.4070 eV per atom
Space group = No. 216
Calculated total energy = -3.472 eV per atom